Entry 1:
DFT (GGA-PBE) results for a relaxed structure of KPmCl2.

## Properties
M_tot = 0.00 Bohr magnetons per cell
energy relative to the elements, uncorrected = -1.44 eV/atom
SG = R-3m, No. 166
DFT total energy = -3.823 eV/atom

Lattice parameters (Å, degrees): 10.347 10.347 10.347 21.19 21.19 21.19
Sites, in units of the cell vectors:
1 K 0.000 0.000 0.000
2 Pm 0.500 0.500 0.500
3 Cl 0.104 0.104 0.104
4 Cl 0.896 0.896 0.896

***

Entry 2:
DFT (GGA-PBE) results for a relaxed structure of PmVSi2.

## Properties
M_tot = 0.00 Bohr magnetons per cell
energy relative to the elements, uncorrected = -0.32 eV/atom
distance to the lowest polymorph of the same formula = 75 meV/atom
SG = P4/mmm, No. 123
DFT total energy = -6.495 eV/atom

Lattice parameters (Å, degrees): 3.245 3.245 6.651 90.00 90.00 90.00
Sites, in units of the cell vectors:
1 Pm 0.000 0.000 0.000
2 V 0.000 0.000 0.500
3 Si 0.500 0.500 0.317
4 Si 0.500 0.500 0.683

***

Entry 3:
DFT (GGA-PBE) results for a relaxed structure of La7NdMg2.

## Properties
DFT formation energy = 0.469 eV per atom
M_tot = 0.00 Bohr magnetons per cell
distance to the lowest polymorph of the same formula = 451 meV/atom
SG = Cmmm, No. 65
DFT total energy = -3.776 eV/atom

Lattice parameters (Å, degrees): 9.641 9.641 5.304 90.00 90.00 123.10
Sites, in units of the cell vectors:
1 La 0.000 0.000 0.000
2 La 0.200 0.433 0.000
3 La 0.290 0.710 0.500
4 La 0.433 0.200 0.000
5 La 0.567 0.800 0.000
6 La 0.710 0.290 0.500
7 La 0.800 0.567 0.000
8 Nd 0.500 0.500 0.500
9 Mg 0.197 0.803 0.000
10 Mg 0.803 0.197 0.000

***

Entry 4:
DFT (GGA-PBE) results for a relaxed structure of Ca2TaAu.

## Properties
DFT formation energy = 0.414 eV per atom
M_tot = 1.72 Bohr magnetons per cell
distance to the lowest polymorph of the same formula = 287 meV/atom
SG = I4/mmm, No. 139
DFT total energy = -4.369 eV/atom

Lattice parameters (Å, degrees): 5.698 5.698 5.698 134.16 134.16 66.83
Sites, in units of the cell vectors:
1 Ca 0.250 0.750 0.500
2 Ca 0.750 0.250 0.500
3 Ta 0.000 0.000 0.000
4 Au 0.500 0.500 0.000